No. 1
First-principles (GGA-PBE) data for an optimized crystal structure of PbBr3N, as listed in Alexandria.

CIF file:
```
data_PbBr3N
_chemical_formula_sum 'Pb1 Br3 N1'
_space_group_name_H-M_alt 'P m -3 m'
_space_group_IT_number 221
_space_group_name_Hall '-P 4 2 3'
_cell_length_a 5.7363
_cell_length_b 5.7363
_cell_length_c 5.7363
_cell_angle_alpha 90.00
_cell_angle_beta 90.00
_cell_angle_gamma 90.00
loop_
_atom_site_label
_atom_site_type_symbol
_atom_site_fract_x
_atom_site_fract_y
_atom_site_fract_z
Pb1 Pb 0.0000 0.0000 0.0000
Br1 Br 0.0000 0.0000 0.5000
N1 N 0.5000 0.5000 0.5000
```

Crystal system: cubic
Energy relative to the elements, uncorrected: 0.65 eV/atom
Volume: 37.75 Å³ per atom
Energy relative to the lowest polymorph listed for this composition: 0.65 eV/f.u.
E_tot: -0.2025 Ry/atom


No. 2
First-principles (GGA-PBE) data for an optimized crystal structure of PbBr2N2, as listed in Alexandria.

CIF file:
```
data_PbBr2N2
_chemical_formula_sum 'Pb2 Br4 N4'
_space_group_name_H-M_alt 'I 4/m m m'
_space_group_IT_number 139
_space_group_name_Hall '-I 4 2'
_cell_length_a 4.6922
_cell_length_b 4.6922
_cell_length_c 9.3191
_cell_angle_alpha 90.00
_cell_angle_beta 90.00
_cell_angle_gamma 90.00
loop_
_atom_site_label
_atom_site_type_symbol
_atom_site_fract_x
_atom_site_fract_y
_atom_site_fract_z
Pb1 Pb 0.0000 0.0000 0.0000
Br1 Br 0.0000 0.0000 0.3056
N1 N 0.0000 0.5000 0.2500
```

Crystal system: tetragonal
Energy relative to the elements, uncorrected: 1.66 eV/atom
Volume: 20.52 Å³ per atom
Energy relative to the lowest polymorph listed for this composition: 11.06 eV/f.u.
E_tot: -0.2262 Ry/atom


No. 3
First-principles (GGA-PBE) data for an optimized crystal structure of Rb2PbBr6N, as listed in Alexandria.

CIF file:
```
data_Rb2PbBr6N
_chemical_formula_sum 'Rb4 Pb2 Br12 N2'
_space_group_name_H-M_alt 'I 4/m m m'
_space_group_IT_number 139
_space_group_name_Hall '-I 4 2'
_cell_length_a 8.1387
_cell_length_b 8.1387
_cell_length_c 10.3299
_cell_angle_alpha 90.00
_cell_angle_beta 90.00
_cell_angle_gamma 90.00
loop_
_atom_site_label
_atom_site_type_symbol
_atom_site_fract_x
_atom_site_fract_y
_atom_site_fract_z
Rb1 Rb 0.0000 0.5000 0.2500
Pb1 Pb 0.0000 0.0000 0.0000
Br1 Br 0.0000 0.0000 0.2837
Br2 Br 0.2473 0.2473 0.0000
N1 N 0.0000 0.0000 0.5000
```

Crystal system: tetragonal
Energy relative to the elements, uncorrected: -0.49 eV/atom
Volume: 34.21 Å³ per atom
E_tot: -0.2122 Ry/atom


Q: What is the volume in the second record?
A: 20.52 Å³ per atom